{"formula": "CuNi2B", "functional": "PBE-GGA", "state": "relaxed", "lattice": [[2.659, 0.000, 0.000], [-1.330, 2.303, 0.000], [0.000, 0.000, 20.007]], "species": ["Cu", "Cu", "Cu", "Ni", "Ni", "Ni", "Ni", "Ni", "Ni", "B", "B", "B"], "fractional_positions": [[0.000, 0.000, 0.000], [0.333, 0.667, 0.667], [0.667, 0.333, 0.333], [0.000, 0.000, 0.230], [0.000, 0.000, 0.770], [0.333, 0.667, 0.437], [0.333, 0.667, 0.896], [0.667, 0.333, 0.104], [0.667, 0.333, 0.563], [0.000, 0.000, 0.500], [0.333, 0.667, 0.167], [0.667, 0.333, 0.833]], "total_magnetization_mub_per_cell": 0.00, "e_tot_ev_per_atom": -5.61, "crystal_system": "trigonal", "dos_at_fermi_per_ev_atom": 0.54}